<A>
The following is a PBE calculation of an optimized crystal structure of CaBF5, from the Alexandria database.

a b c (Å): 5.145 5.145 7.485
angles (deg): 111.34 111.34 71.26
Element x y z (fractional)
Ca (0.049, 0.951, 0.750)
Ca (0.951, 0.049, 0.250)
B (0.500, 0.500, 0.000)
B (0.500, 0.500, 0.500)
F (0.215, 0.773, 0.030)
F (0.227, 0.785, 0.470)
F (0.300, 0.314, 0.402)
F (0.314, 0.300, 0.902)
F (0.435, 0.565, 0.750)
F (0.565, 0.435, 0.250)
F (0.686, 0.700, 0.098)
F (0.700, 0.686, 0.598)
F (0.773, 0.215, 0.530)
F (0.785, 0.227, 0.970)

Total magnetic moment: 0.00 μB per cell

***

<B>
The following is a PBE calculation of an optimized crystal structure of CaBF5, from the Alexandria database.

a b c (Å): 5.645 5.645 8.126
angles (deg): 110.61 110.61 87.42
Element x y z (fractional)
Ca (0.000, 0.500, 0.000)
Ca (0.500, 0.000, 0.500)
B (0.136, 0.864, 0.750)
B (0.864, 0.136, 0.250)
F (0.110, 0.171, 0.391)
F (0.157, 0.678, 0.832)
F (0.171, 0.110, 0.891)
F (0.322, 0.843, 0.668)
F (0.332, 0.668, 0.250)
F (0.668, 0.332, 0.750)
F (0.678, 0.157, 0.332)
F (0.829, 0.890, 0.109)
F (0.843, 0.322, 0.168)
F (0.890, 0.829, 0.609)

Total magnetic moment: 0.19 μB per cell

***

Of them, the most stable is <B> and the least stable is <A>.

***

<A>
The following is a PBE calculation of an optimized crystal structure of CaBF3, from the Alexandria database.

a b c (Å): 4.408 4.408 4.408
angles (deg): 90.00 90.00 90.00
Element x y z (fractional)
Ca (0.000, 0.000, 0.000)
B (0.500, 0.500, 0.500)
F (0.000, 0.000, 0.500)
F (0.000, 0.500, 0.000)
F (0.500, 0.000, 0.000)

Total magnetic moment: 0.00 μB per cell

***

<B>
The following is a PBE calculation of an optimized crystal structure of CaBF3, from the Alexandria database.

a b c (Å): 4.047 4.047 4.047
angles (deg): 90.00 90.00 90.00
Element x y z (fractional)
Ca (0.000, 0.000, 0.000)
B (0.500, 0.500, 0.500)
F (0.000, 0.500, 0.500)
F (0.500, 0.000, 0.500)
F (0.500, 0.500, 0.000)

Total magnetic moment: 0.00 μB per cell

***

Of them, the most stable is <A> and the least stable is <B>.